Zr2BeB2 | PBE-GGA | optimized geometry

Structure (POSCAR):
```
Zr2BeB2
1.0
4.662 -1.688 0.000
4.662 1.688 0.000
-3.498 0.000 8.029
Zr Be B
4 2 4
Direct
0.010 0.010 0.188
0.191 0.191 0.615
0.809 0.809 0.385
0.990 0.990 0.812
0.249 0.249 0.088
0.751 0.751 0.912
0.387 0.387 0.951
0.471 0.471 0.583
0.529 0.529 0.417
0.613 0.613 0.049
```

Output
DFT formation energy, meV/atom: -509
Energy relative to the lowest polymorph listed for this composition, meV/atom: 28
Size of the total moment, μB/cell: 0.00


ZrBe2B2 | PBE-GGA | optimized geometry

Structure (POSCAR):
```
ZrBe2B2
1.0
-1.664 1.664 4.238
1.664 -1.664 4.238
1.664 1.664 -4.238
Zr Be B
1 2 2
Direct
0.000 0.000 0.000
0.250 0.750 0.500
0.750 0.250 0.500
0.393 0.393 0.000
0.607 0.607 0.000
```

Output
DFT formation energy, meV/atom: -551
Size of the total moment, μB/cell: 0.00


Zr2BeB | PBE-GGA | optimized geometry

Structure (POSCAR):
```
Zr2BeB
1.0
-3.322 3.322 2.993
3.322 -3.322 2.993
3.322 3.322 -2.993
Zr Be B
4 2 2
Direct
0.097 0.625 0.972
0.375 0.347 0.472
0.653 0.125 0.028
0.875 0.903 0.528
0.250 0.750 0.500
0.500 0.500 0.000
0.000 0.000 0.000
0.750 0.250 0.500
```

Output
DFT formation energy, meV/atom: 241
Energy relative to the lowest polymorph listed for this composition, meV/atom: 200
Size of the total moment, μB/cell: 0.00


Zr2Be16B | PBE-GGA | optimized geometry

Structure (POSCAR):
```
Zr2Be16B
1.0
3.729 2.153 3.631
-3.729 2.153 3.631
0.000 -4.305 3.631
Zr Be B
2 16 1
Direct
0.000 0.000 0.000
0.331 0.331 0.331
0.007 0.007 0.504
0.007 0.504 0.007
0.167 0.663 0.663
0.324 0.324 0.824
0.324 0.824 0.324
0.376 0.665 0.953
0.376 0.953 0.665
0.504 0.007 0.007
0.663 0.167 0.663
0.663 0.663 0.167
0.665 0.376 0.953
0.665 0.953 0.376
0.750 0.750 0.750
0.824 0.324 0.324
0.953 0.376 0.665
0.953 0.665 0.376
0.565 0.565 0.565
```

Output
DFT formation energy, meV/atom: -207
Size of the total moment, μB/cell: 0.00


Zr2BeB | PBE-GGA | optimized geometry

Structure (POSCAR):
```
Zr2BeB
1.0
0.000 3.088 3.088
3.088 0.000 3.088
3.088 3.088 0.000
Zr Be B
2 1 1
Direct
0.250 0.250 0.250
0.750 0.750 0.750
0.000 0.000 0.000
0.500 0.500 0.500
```

Output
DFT formation energy, meV/atom: 41
Energy relative to the lowest polymorph listed for this composition, meV/atom: 0
Size of the total moment, μB/cell: 0.00


Zr2Be2B | PBE-GGA | optimized geometry

Structure (POSCAR):
```
Zr2Be2B
1.0
6.888 0.000 0.000
0.000 6.888 0.000
0.000 0.000 3.304
Zr Be B
4 4 2
Direct
0.189 0.311 0.000
0.311 0.811 0.000
0.689 0.189 0.000
0.811 0.689 0.000
0.104 0.604 0.500
0.396 0.104 0.500
0.604 0.896 0.500
0.896 0.396 0.500
0.000 0.000 0.000
0.500 0.500 0.000
```

Output
DFT formation energy, meV/atom: 465
Energy relative to the lowest polymorph listed for this composition, meV/atom: 273
Size of the total moment, μB/cell: 0.00


ZrBeB | PBE-GGA | optimized geometry

Structure (POSCAR):
```
ZrBeB
1.0
-1.705 2.968 3.497
1.705 -2.968 3.497
1.705 2.968 -3.497
Zr Be B
2 2 2
Direct
0.246 0.246 0.000
0.754 0.754 0.000
0.324 0.000 0.324
0.676 0.000 0.676
0.154 0.500 0.654
0.846 0.500 0.346
```

Output
DFT formation energy, meV/atom: -564
Energy relative to the lowest polymorph listed for this composition, meV/atom: 23
Size of the total moment, μB/cell: 0.00


BiB | PBE-GGA | optimized geometry

Structure (POSCAR):
```
BiB
1.0
9.514 0.000 0.000
-4.757 8.240 0.000
0.000 0.000 4.012
Bi B
6 6
Direct
0.084 0.674 0.250
0.326 0.410 0.250
0.410 0.084 0.750
0.590 0.916 0.250
0.674 0.590 0.750
0.916 0.326 0.750
0.079 0.415 0.250
0.336 0.921 0.250
0.415 0.336 0.750
0.585 0.664 0.250
0.664 0.079 0.750
0.921 0.585 0.750
```

Output
DFT formation energy, meV/atom: 1013
Energy relative to the lowest polymorph listed for this composition, meV/atom: 194
Size of the total moment, μB/cell: 0.00